# 1
Tl2NiOsO6 GGA+U relaxed; raw total energy = -5.589 eV per atom
1.0
6.067 0.000 0.000
-3.034 5.255 0.000
0.000 0.000 5.161
Tl Ni Os O
2 1 1 6
direct
0.333 0.667 0.200
0.667 0.333 0.800
0.000 0.000 0.500
0.000 0.000 0.000
0.144 0.288 0.781
0.144 0.856 0.781
0.288 0.144 0.219
0.712 0.856 0.781
0.856 0.144 0.219
0.856 0.712 0.219

# 2
V2MoAsO GGA+U relaxed; raw total energy = -5.963 eV per atom
1.0
3.845 0.000 0.000
0.000 3.845 0.000
0.000 0.000 5.182
V Mo As O
2 1 1 1
direct
0.000 0.500 0.000
0.500 0.000 0.000
0.000 0.000 0.500
0.500 0.500 0.500
0.500 0.500 0.000